No. 1
# KSr3Rh PBE-GGA optimized geometry
# Magnetization ... 0.0 μB per cell
# ΔE to the lowest computed polymorph ... 192 meV per atom
# E ... -2.643 eV/atom
# ΔH_f (0 K) ... 0.06 eV/atom
data_KSr3Rh
_chemical_formula_sum 'K4 Sr12 Rh4'
_symmetry_space_group_name_H-M 'P n m a'
_symmetry_Int_Tables_number 62
_cell_length_a 8.0257
_cell_length_b 9.8061
_cell_length_c 11.9458
_cell_angle_alpha 90.00
_cell_angle_beta 90.00
_cell_angle_gamma 90.00
loop_
_symmetry_equiv_pos_as_xyz
'x,y,z'
'-x,-y,-z'
'-x+1/2,-y,z+1/2'
'x+1/2,y,-z+1/2'
'x+1/2,-y+1/2,-z+1/2'
'-x+1/2,y+1/2,z+1/2'
'-x,y+1/2,-z'
'x,-y+1/2,z'
loop_
_atom_site_label
_atom_site_type_symbol
_atom_site_fract_x
_atom_site_fract_y
_atom_site_fract_z
K1 K 0.0000 0.0000 0.0000
Sr1 Sr 0.0283 0.0636 0.3634
Sr2 Sr 0.2405 0.2500 0.7262
Rh1 Rh 0.0383 0.7500 0.4336

No. 2
# La4Pm3Tm2 PBE-GGA optimized geometry
# Magnetization ... 0.0 μB per cell
# ΔE to the lowest computed polymorph ... 60 meV per atom
# E ... -4.681 eV/atom
# ΔH_f (0 K) ... 0.09 eV/atom
data_La4Pm3Tm2
_chemical_formula_sum 'La8 Pm6 Tm4'
_symmetry_space_group_name_H-M 'C 1 2/m 1'
_symmetry_Int_Tables_number 12
_cell_length_a 13.0195
_cell_length_b 3.7203
_cell_length_c 14.6483
_cell_angle_alpha 90.00
_cell_angle_beta 115.78
_cell_angle_gamma 90.00
loop_
_symmetry_equiv_pos_as_xyz
'x,y,z'
'-x,-y,-z'
'-x,y,-z'
'x,-y,z'
'x+1/2,y+1/2,z'
'-x+1/2,-y+1/2,-z'
'-x+1/2,y+1/2,-z'
'x+1/2,-y+1/2,z'
loop_
_atom_site_label
_atom_site_type_symbol
_atom_site_fract_x
_atom_site_fract_y
_atom_site_fract_z
La1 La 0.2186 0.0000 0.1051
La2 La 0.2207 0.5000 0.3720
Pm1 Pm 0.0000 0.5000 0.5000
Pm2 Pm 0.0022 0.5000 0.8839
Tm1 Tm 0.0511 0.0000 0.7097

No. 3
# Ac3Cd2Hg9 PBE-GGA optimized geometry
# Magnetization ... 0.0 μB per cell
# E ... -1.543 eV/atom
# ΔH_f (0 K) ... -0.34 eV/atom
data_Ac3Cd2Hg9
_chemical_formula_sum 'Ac6 Cd4 Hg18'
_symmetry_space_group_name_H-M 'I m m m'
_symmetry_Int_Tables_number 71
_symmetry_space_group_name_Hall '-I 2 2'
_cell_length_a 5.1713
_cell_length_b 9.8689
_cell_length_c 14.9421
_cell_angle_alpha 90.00
_cell_angle_beta 90.00
_cell_angle_gamma 90.00
loop_
_atom_site_label
_atom_site_type_symbol
_atom_site_fract_x
_atom_site_fract_y
_atom_site_fract_z
Ac1 Ac 0.0000 0.0000 0.0000
Ac2 Ac 0.0000 0.0000 0.2868
Cd1 Cd 0.0000 0.1629 0.5000
Hg1 Hg 0.0000 0.2882 0.1468
Hg2 Hg 0.0000 0.3565 0.3526
Hg3 Hg 0.0000 0.5000 0.0000

No. 4
# Ca2Co2Ge PBE-GGA optimized geometry
# Magnetization ... 5.9 μB per cell
# E ... -4.593 eV/atom
# ΔH_f (0 K) ... -0.03 eV/atom
data_Ca2Co2Ge
_chemical_formula_sum 'Ca4 Co4 Ge2'
_symmetry_space_group_name_H-M 'I 4/m m m'
_symmetry_Int_Tables_number 139
_symmetry_space_group_name_Hall '-I 4 2'
_cell_length_a 3.3320
_cell_length_b 3.3320
_cell_length_c 18.2634
_cell_angle_alpha 90.00
_cell_angle_beta 90.00
_cell_angle_gamma 90.00
loop_
_atom_site_label
_atom_site_type_symbol
_atom_site_fract_x
_atom_site_fract_y
_atom_site_fract_z
Ca1 Ca 0.0000 0.0000 0.1120
Co1 Co 0.0000 0.5000 0.2500
Ge1 Ge 0.0000 0.0000 0.5000